Entry from Alexandria: crystalline Sn4Pd5Pt at its relaxed geometry (GGA-PBE).

Energy of formation from the pure elements = -462.1 meV/atom
DFT total energy = -5.264 eV per atom
Space-group type = No. 71
DOS(E_F) = 0.30 states/eV/atom

a b c (Å): 3.964 8.762 10.878
angles (deg): 90.00 90.00 90.00
Fractional positions:
Sn 0.750 0.000 0.750
Sn 0.250 0.798 0.000
Sn 0.250 0.202 0.000
Sn 0.750 0.000 0.250
Sn 0.250 0.500 0.250
Sn 0.750 0.702 0.500
Sn 0.750 0.298 0.500
Sn 0.250 0.500 0.750
Pd 0.250 0.802 0.659
Pd 0.250 0.198 0.659
Pd 0.251 0.500 0.000
Pd 0.250 0.802 0.341
Pd 0.250 0.198 0.341
Pd 0.750 0.698 0.159
Pd 0.750 0.302 0.159
Pd 0.749 0.000 0.500
Pd 0.750 0.302 0.841
Pd 0.750 0.698 0.841
Pt 0.750 0.000 0.000
Pt 0.250 0.500 0.500



Entry from Alexandria: crystalline CuBi2Os at its relaxed geometry (GGA-PBE).

Energy of formation from the pure elements = 683.5 meV/atom
DFT total energy = -5.088 eV per atom
Space-group type = No. 225
DOS(E_F) = 0.62 states/eV/atom

a b c (Å): 4.861 4.861 4.861
angles (deg): 60.00 60.00 60.00
Fractional positions:
Os 0.500 0.500 0.500
Bi 0.250 0.250 0.250
Bi 0.750 0.750 0.750
Cu 0.000 0.000 0.000



Entry from Alexandria: crystalline Pr6Nd12Mg at its relaxed geometry (GGA-PBE).

Energy of formation from the pure elements = 119.2 meV/atom
DFT total energy = -4.485 eV per atom
Space-group type = No. 166
DOS(E_F) = 1.56 states/eV/atom

a b c (Å): 8.915 8.915 8.915
angles (deg): 97.59 97.59 97.59
Fractional positions:
Pr 0.135 0.136 0.407
Pr 0.864 0.593 0.865
Pr 0.593 0.865 0.864
Pr 0.865 0.864 0.593
Pr 0.136 0.407 0.135
Pr 0.407 0.135 0.136
Nd 0.582 0.171 0.582
Nd 0.171 0.582 0.582
Nd 0.582 0.582 0.171
Nd 0.418 0.829 0.418
Nd 0.829 0.418 0.418
Nd 0.418 0.418 0.829
Nd 0.262 0.000 0.738
Nd 0.262 0.738 0.000
Nd 0.000 0.262 0.738
Nd 0.738 0.000 0.262
Nd 0.738 0.262 0.000
Nd 0.000 0.738 0.262
Mg 0.000 0.000 0.000



Entry from Alexandria: crystalline TlSeN2Cl at its relaxed geometry (GGA-PBE).

DFT total energy = -3.034 eV per atom
Space-group type = No. 123
DOS(E_F) = 0.69 states/eV/atom

a b c (Å): 4.382 4.382 6.028
angles (deg): 90.00 90.00 90.00
Fractional positions:
Tl 0.000 0.000 0.000
N 0.000 0.500 0.000
N 0.500 0.000 0.000
Se 0.000 0.000 0.500
Cl 0.500 0.500 0.500



Entry from Alexandria: crystalline La2Pm4Er5 at its relaxed geometry (GGA-PBE).

Energy of formation from the pure elements = 23.1 meV/atom
DFT total energy = -4.674 eV per atom
Space-group type = No. 2
DOS(E_F) = 1.40 states/eV/atom

a b c (Å): 3.616 11.369 10.807
angles (deg): 77.79 120.11 108.54
Fractional positions:
La 0.324 0.547 0.184
La 0.676 0.453 0.816
Pm 0.136 0.090 0.364
Pm 0.407 0.269 0.092
Pm 0.864 0.910 0.636
Pm 0.593 0.731 0.908
Er 0.767 0.178 0.727
Er 0.233 0.822 0.273
Er 0.949 0.638 0.541
Er 0.500 0.000 0.000
Er 0.051 0.362 0.459



Entry from Alexandria: crystalline RbSnHg2Sb at its relaxed geometry (GGA-PBE).

DFT total energy = -1.968 eV per atom
Space-group type = No. 123
DOS(E_F) = 0.56 states/eV/atom

a b c (Å): 5.833 5.833 5.941
angles (deg): 90.00 90.00 90.00
Fractional positions:
Sb 0.000 0.000 0.500
Hg 0.000 0.500 0.000
Hg 0.500 0.000 0.000
Rb 0.500 0.500 0.500
Sn 0.000 0.000 0.000



Entry from Alexandria: crystalline TeH3SBr3 at its relaxed geometry (GGA-PBE).

DFT total energy = -3.017 eV per atom
Space-group type = No. 1

a b c (Å): 6.823 9.330 15.858
angles (deg): 90.86 101.07 85.48
Fractional positions:
Br 0.622 0.091 0.115
Br 0.631 0.622 0.923
Br 0.266 0.856 0.353
Br 0.822 0.635 0.598
Br 0.116 0.518 0.092
Br 0.728 0.315 0.759
Br 0.739 0.421 0.373
Br 0.244 0.876 0.646
Br 0.267 0.232 0.275
Br 0.788 0.902 0.786
Br 0.633 0.702 0.189
Br 0.176 0.285 0.617
Te 0.454 0.464 0.235
Te 0.724 0.619 0.765
Te 0.473 0.969 0.238
Te 0.442 0.097 0.702
S 0.085 0.911 0.052
S 0.695 0.035 0.520
S 0.362 0.539 0.477
S 0.217 0.401 0.898
H 0.082 0.767 0.071
H 0.240 0.937 0.138
H 0.920 0.955 0.087
H 0.746 0.897 0.549
H 0.869 0.082 0.564
H 0.579 0.072 0.606
H 0.547 0.578 0.529
H 0.345 0.661 0.423
H 0.248 0.610 0.529
H 0.175 0.451 0.983
H 0.373 0.492 0.902
H 0.072 0.497 0.851



Entry from Alexandria: crystalline Al5Pd2 at its relaxed geometry (GGA-PBE).

Energy of formation from the pure elements = -513.2 meV/atom
DFT total energy = -4.670 eV per atom
Space-group type = No. 15
DOS(E_F) = 0.20 states/eV/atom

a b c (Å): 4.582 7.148 7.528
angles (deg): 103.79 107.72 90.00
Fractional positions:
Al 0.100 0.573 0.849
Al 0.251 0.927 0.151
Al 0.418 0.297 0.396
Al 0.022 0.203 0.604
Al 0.582 0.703 0.604
Al 0.978 0.797 0.396
Al 0.749 0.073 0.849
Al 0.900 0.427 0.151
Al 0.661 0.750 0.000
Al 0.339 0.250 0.000
Pd 0.434 0.596 0.240
Pd 0.195 0.904 0.760
Pd 0.566 0.404 0.760
Pd 0.805 0.096 0.240



Which of these has the highest DFT total energy? RbSnHg2Sb



Please write out number 2 again, unchanged.
Entry from Alexandria: crystalline CuBi2Os at its relaxed geometry (GGA-PBE).

Energy of formation from the pure elements = 683.5 meV/atom
DFT total energy = -5.088 eV per atom
Space-group type = No. 225
DOS(E_F) = 0.62 states/eV/atom

a b c (Å): 4.861 4.861 4.861
angles (deg): 60.00 60.00 60.00
Fractional positions:
Os 0.500 0.500 0.500
Bi 0.250 0.250 0.250
Bi 0.750 0.750 0.750
Cu 0.000 0.000 0.000



Number 1 is which compound? Sn4Pd5Pt